[1]
Compound: Ho8ThSc5
Source: the Alexandria database
Functional: PBE
Structure: optimized geometry

Lattice parameters (Å, degrees): 8.3384 8.3384 8.2429 95.51 114.00 120.21
Last column: nearest neighbours and their distance in Å.
Fractional coordinates of all 14 atoms:
Ho: 0.9412 0.7384 0.1026  2 Ho 2.99-3.29, 2 Sc 3.15-3.18, 1 Th 3.18
Ho: 0.1838 0.3017 0.1957  2 Sc 3.10-3.39, 1 Ho 3.40
Ho: 0.6841 0.8474 0.3399  5 Sc 3.15-3.34, 1 Ho 3.49
Ho: 0.1723 0.6341 0.9124  5 Sc 3.22-3.43, 4 Ho 3.29-3.57
Ho: 0.7217 0.2599 0.0876  5 Sc 3.22-3.43, 4 Ho 3.29-3.57
Ho: 0.1060 0.9881 0.8043  2 Sc 3.10-3.39, 1 Ho 3.40
Ho: 0.6359 0.8386 0.8974  2 Ho 2.99-3.29, 2 Sc 3.15-3.18, 1 Th 3.18
Ho: 0.5075 0.3442 0.6601  5 Sc 3.15-3.34, 1 Ho 3.49
Th: 0.2640 0.7640 0.5000  2 Ho 3.18, 4 Sc 3.27-3.33
Sc: 0.7858 0.1596 0.7144  2 Sc 3.04-3.22, 4 Ho 3.15-3.34, 1 Th 3.33
Sc: 0.7871 0.5239 0.4590  2 Sc 3.04-3.35, 4 Ho 3.25-3.39, 1 Th 3.27
Sc: 0.4452 0.0714 0.2856  2 Sc 3.04-3.22, 4 Ho 3.15-3.34, 1 Th 3.33
Sc: 0.4506 0.4506 0.0000  8 Ho 3.10-3.27, 2 Sc 3.43
Sc: 0.0649 0.3281 0.5410  2 Sc 3.04-3.35, 4 Ho 3.25-3.39, 1 Th 3.27

Computed properties:
final energy: -5.1563 eV/atom

=====

[2]
Compound: Ho4Th2Sc5
Source: the Alexandria database
Functional: PBE
Structure: optimized geometry

Lattice parameters (Å, degrees): 3.4025 8.2477 14.2358 99.76 126.71 78.08
Last column: nearest neighbours and their distance in Å.
Fractional coordinates of all 11 atoms:
Ho: 0.2322 0.1946 0.5316  7 Sc 3.37-3.45, 6 Ho 3.40-3.62
Ho: 0.5933 0.7572 0.1885  5 Sc 3.25-3.44, 4 Ho 3.40-3.62, 3 Th 3.50-3.59
Ho: 0.7678 0.8054 0.4684  7 Sc 3.37-3.45, 6 Ho 3.40-3.62
Ho: 0.4067 0.2428 0.8115  5 Sc 3.25-3.44, 4 Ho 3.40-3.62, 3 Th 3.50-3.59
Th: 0.9138 0.6254 0.8907  4 Th 3.40-3.72, 6 Sc 3.41-3.63, 3 Ho 3.50-3.59
Th: 0.0862 0.3746 0.1093  4 Th 3.40-3.72, 6 Sc 3.41-3.63, 3 Ho 3.50-3.59
Sc: 0.8081 0.5406 0.6313  2 Sc 3.01-3.03, 2 Ho 3.25-3.37
Sc: 0.1919 0.4594 0.3687  2 Sc 3.01-3.03, 2 Ho 3.25-3.37
Sc: 0.8690 0.8963 0.7273  2 Sc 3.01-3.18, 2 Ho 3.36-3.37
Sc: 0.5000 0.0000 0.0000  4 Sc 3.18-3.40, 4 Ho 3.44
Sc: 0.1310 0.1037 0.2727  2 Sc 3.01-3.18, 2 Ho 3.36-3.37

Computed properties:
final energy: -5.8486 eV/atom

=====

[3]
Compound: Ho2Th3Sc4
Source: the Alexandria database
Functional: PBE
Structure: optimized geometry

Lattice parameters (Å, degrees): 5.8190 9.6726 9.6726 71.02 83.45 83.45
Last column: nearest neighbours and their distance in Å.
Fractional coordinates of all 18 atoms:
Ho: 0.2034 0.7479 0.4923  4 Sc 3.29-3.45, 5 Th 3.33-3.47
Ho: 0.2966 0.5077 0.2521  4 Sc 3.29-3.45, 5 Th 3.33-3.47
Ho: 0.7966 0.2521 0.5077  4 Sc 3.29-3.45, 5 Th 3.33-3.47
Ho: 0.7034 0.4923 0.7479  4 Sc 3.29-3.45, 5 Th 3.33-3.47
Th: 0.1067 0.9652 0.7164  8 Sc 3.23-3.48, 2 Ho 3.33-3.44
Th: 0.3933 0.2836 0.0348  8 Sc 3.23-3.48, 2 Ho 3.33-3.44
Th: 0.8933 0.0348 0.2836  8 Sc 3.23-3.48, 2 Ho 3.33-3.44
Th: 0.6067 0.7164 0.9652  8 Sc 3.23-3.48, 2 Ho 3.33-3.44
Th: 0.2500 0.3742 0.6258  4 Sc 3.35-3.60, 6 Ho 3.41-3.47
Th: 0.7500 0.6258 0.3742  4 Sc 3.35-3.60, 6 Ho 3.41-3.47
Sc: 0.5421 0.0699 0.8259  3 Sc 3.11-3.38, 5 Th 3.23-3.48, 1 Ho 3.29
Sc: 0.9579 0.1741 0.9301  3 Sc 3.11-3.38, 5 Th 3.23-3.48, 1 Ho 3.29
Sc: 0.4579 0.9301 0.1741  3 Sc 3.11-3.38, 5 Th 3.23-3.48, 1 Ho 3.29
Sc: 0.0421 0.8259 0.0699  3 Sc 3.11-3.38, 5 Th 3.23-3.48, 1 Ho 3.29
Sc: 0.6482 0.8592 0.6030  2 Sc 3.25-3.38, 5 Th 3.26-3.60, 3 Ho 3.32-3.45
Sc: 0.8518 0.3970 0.1408  2 Sc 3.25-3.38, 5 Th 3.26-3.60, 3 Ho 3.32-3.45
Sc: 0.3518 0.1408 0.3970  2 Sc 3.25-3.38, 5 Th 3.26-3.60, 3 Ho 3.32-3.45
Sc: 0.1482 0.6030 0.8592  2 Sc 3.25-3.38, 5 Th 3.26-3.60, 3 Ho 3.32-3.45

Computed properties:
final energy: -6.1834 eV/atom

=====

[4]
Compound: Ho7Th3Sc
Source: the Alexandria database
Functional: PBE
Structure: optimized geometry

Lattice parameters (Å, degrees): 8.4188 7.0033 7.0033 120.00 90.00 90.00
Last column: nearest neighbours and their distance in Å.
Fractional coordinates of all 11 atoms:
Ho: 0.1179 0.1686 0.8314  8 Ho 3.46-3.54, 2 Th 3.47, 1 Sc 3.48
Ho: 0.1179 0.1686 0.3373  8 Ho 3.46-3.54, 2 Th 3.47, 1 Sc 3.48
Ho: 0.1095 0.6667 0.3333  3 Th 3.44, 9 Ho 3.50-3.51
Ho: 0.4510 0.8323 0.1677  2 Th 3.44, 7 Ho 3.47-3.52, 2 Sc 3.50
Ho: 0.4510 0.3355 0.1677  2 Th 3.44, 7 Ho 3.47-3.52, 2 Sc 3.50
Ho: 0.4510 0.8323 0.6645  2 Th 3.44, 7 Ho 3.47-3.52, 2 Sc 3.50
Ho: 0.1179 0.6627 0.8314  8 Ho 3.46-3.54, 2 Th 3.47, 1 Sc 3.48
Th: 0.7807 0.4986 0.5014  1 Sc 3.38, 5 Ho 3.44-3.47, 4 Th 3.47-3.53
Th: 0.7807 0.4986 0.9971  1 Sc 3.38, 5 Ho 3.44-3.47, 4 Th 3.47-3.53
Th: 0.7807 0.0029 0.5014  1 Sc 3.38, 5 Ho 3.44-3.47, 4 Th 3.47-3.53
Sc: 0.4567 0.3333 0.6667  3 Th 3.38, 9 Ho 3.48-3.50

Computed properties:
final energy: -5.3038 eV/atom

=====

These records have size of the total moment values of 0.000, 0.003, 0.000, 0.000 μB per cell, in the order they appear.
These records have calculated formation energy values of 3.51, 0.47, 1.09, 2.29 eV/f.u., in the order they appear.